No. 1
Material: Pu2Cd5Hg
Method: DFT, PBE
State: optimized geometry

DOS at the Fermi energy	58.782	states/eV per cell
M_tot	12.1	μB per formula unit
DFT formation energy	0.9	kJ/mol of atoms

abc: 4.5041 9.2248 10.2967
angles: 90.00 90.00 104.13
With the nearest neighbours (Å) after each atom.
Positions (direct):
Pu 0.8222 0.6443 0.7500  9 Cd 3.29-3.65, 2 Hg 3.36
Pu 0.1778 0.3557 0.2500  9 Cd 3.29-3.65, 2 Hg 3.36
Pu 0.0000 0.0000 0.0000  4 Cd 3.35, 4 Hg 3.49
Pu 0.0000 0.0000 0.5000  4 Cd 3.35, 4 Hg 3.49
Cd 0.2026 0.4052 0.8948  6 Cd 2.88-3.09
Cd 0.7974 0.5948 0.1052  6 Cd 2.88-3.09
Cd 0.2026 0.4052 0.6052  6 Cd 2.88-3.09
Cd 0.7974 0.5948 0.3948  6 Cd 2.88-3.09
Cd 0.3620 0.7241 0.9722  4 Cd 2.88-2.96, 1 Hg 2.90
Cd 0.6380 0.2759 0.0278  4 Cd 2.88-2.96, 1 Hg 2.90
Cd 0.3620 0.7241 0.5278  4 Cd 2.88-2.96, 1 Hg 2.90
Cd 0.6380 0.2759 0.4722  4 Cd 2.88-2.96, 1 Hg 2.90
Cd 0.6182 0.2363 0.7500  1 Hg 2.81, 6 Cd 2.88-3.09
Cd 0.3818 0.7637 0.2500  1 Hg 2.81, 6 Cd 2.88-3.09
Hg 0.4613 0.9227 0.7500  3 Cd 2.81-2.90
Hg 0.5387 0.0773 0.2500  3 Cd 2.81-2.90

No. 2
Material: Pu2CdHg6
Method: DFT, PBE
State: optimized geometry

DOS at the Fermi energy	16.540	states/eV per cell
E above lowest polymorph	38	kJ/mol of formula units
M_tot	12.8	μB per formula unit
DFT formation energy	-0.2	kJ/mol of atoms

abc: 3.0619 15.5088 9.3286
angles: 146.23 99.45 90.00
With the nearest neighbours (Å) after each atom.
Positions (direct):
Pu 0.1823 0.1823 0.3646  2 Pu 3.06, 6 Hg 3.17-3.30
Pu 0.8177 0.8177 0.6354  2 Pu 3.06, 6 Hg 3.17-3.30
Cd 0.0000 0.5000 0.0000  2 Cd 3.06
Hg 0.3431 0.5195 0.6862  6 Hg 3.06-3.31, 1 Pu 3.17
Hg 0.6569 0.4805 0.3138  6 Hg 3.06-3.31, 1 Pu 3.17
Hg 0.6569 0.8333 0.3138  6 Hg 3.06-3.31, 1 Pu 3.17
Hg 0.5000 0.1486 0.0000  4 Hg 3.06-3.13, 4 Pu 3.30
Hg 0.5000 0.8514 0.0000  4 Hg 3.06-3.13, 4 Pu 3.30
Hg 0.3431 0.1667 0.6862  6 Hg 3.06-3.31, 1 Pu 3.17

No. 3
Material: PuCd6Hg
Method: DFT, PBE
State: optimized geometry

DOS at the Fermi energy	15.172	states/eV per cell
E above lowest polymorph	0	kJ/mol of formula units
M_tot	5.9	μB per formula unit
DFT formation energy	-1.3	kJ/mol of atoms

abc: 4.8685 6.4146 6.4146
angles: 103.76 90.00 90.00
With the nearest neighbours (Å) after each atom.
Positions (direct):
Pu 0.0000 0.1495 0.8505  10 Cd 3.19-3.38, 2 Hg 3.24
Cd 0.0000 0.0411 0.3384  6 Cd 3.00-3.20, 1 Pu 3.19
Cd 0.0000 0.6616 0.9589  6 Cd 3.00-3.20, 1 Pu 3.19
Cd 0.0000 0.5518 0.4482  8 Cd 3.08-3.38, 2 Hg 3.10
Cd 0.5000 0.4413 0.1491  7 Cd 3.08-3.40, 2 Hg 3.19-3.30, 2 Pu 3.38
Cd 0.5000 0.8509 0.5587  7 Cd 3.08-3.40, 2 Hg 3.19-3.30, 2 Pu 3.38
Cd 0.5000 0.9418 0.0582  6 Cd 3.00-3.12, 2 Pu 3.21
Hg 0.5000 0.3617 0.6383  10 Cd 3.10-3.46, 2 Pu 3.24